The following is a GGA-PBE calculation of BaZn2SiAu after structural relaxation, from OQMD.

Unit cell a=4.4587 b=4.4587 c=11.0277 alpha=90.00 beta=90.00 gamma=90.00
Closest atoms and distances in Å follow each position.
Space group I4mm (No. 107)
Asymmetric unit:
Ba: 0.0000 0.0000 0.0000 x2  4 Au 3.41, 4 Si 3.42, 8 Zn 3.47-3.62
Zn: 0.0000 0.5000 0.2410 x4  2 Si 2.60, 2 Au 2.72
Si: 0.0000 0.0000 0.6193 x2  4 Zn 2.60, 1 Au 2.61
Au: 0.0000 0.0000 0.3825 x2  1 Si 2.61, 4 Zn 2.72

DFT total energy (eV for the cell shown): -30.3